# TaTlRh2 | the Alexandria database | PBE | optimized geometry
# E_form (eV/atom): 0.03
# Density of states at the Fermi level (states/eV/atom): 1.33
# Crystal system: tetragonal
data_TaTlRh2
_space_group_name_H-M_alt 'P 4/m m m'
_space_group_IT_number 123
_space_group_name_Hall '-P 4 2'
_cell_length_a 4.264
_cell_length_b 4.264
_cell_length_c 3.737
_cell_angle_alpha 90.00
_cell_angle_beta 90.00
_cell_angle_gamma 90.00
loop_
_atom_site_label
_atom_site_type_symbol
_atom_site_fract_x
_atom_site_fract_y
_atom_site_fract_z
Ta1 Ta 0.000 0.000 0.000
Tl1 Tl 0.500 0.500 0.000
Rh1 Rh 0.000 0.500 0.500